## TaRe2Ir (PBE)

Data for a relaxed TaRe2Ir crystal.

a b c (Å): 9.541 9.541 9.541
angles (deg): 16.74 16.74 16.74
Fractional coordinates of all 4 atoms:
1 Ta 0.000 0.000 0.000
2 Re 0.245 0.245 0.245
3 Re 0.755 0.755 0.755
4 Ir 0.500 0.500 0.500

Calculated values
E_form, eV/atom: 0.07

***

## CaBi3Rh (PBE)

Data for a relaxed CaBi3Rh crystal.

a b c (Å): 5.699 5.699 5.699
angles (deg): 90.00 90.00 90.00
Fractional coordinates of all 5 atoms:
1 Ca 0.000 0.000 0.000
2 Bi 0.000 0.000 0.500
3 Bi 0.000 0.500 0.000
4 Bi 0.500 0.000 0.000
5 Rh 0.500 0.500 0.500

Calculated values
E_form, eV/atom: 1.13

***

## Sr2RuW (PBE)

Data for a relaxed Sr2RuW crystal.

a b c (Å): 3.368 3.368 9.657
angles (deg): 90.00 90.00 90.00
Fractional coordinates of all 4 atoms:
1 Sr 0.000 0.000 0.000
2 Sr 0.500 0.500 0.393
3 Ru 0.000 0.000 0.638
4 W 0.500 0.500 0.743

Calculated values
E_form, eV/atom: 0.47

***

## Si5Ir (PBE)

Data for a relaxed Si5Ir crystal.

a b c (Å): 4.620 4.620 5.130
angles (deg): 90.00 90.00 120.00
Fractional coordinates of all 6 atoms:
1 Si 0.000 0.500 0.000
2 Si 0.333 0.667 0.500
3 Si 0.500 0.000 0.000
4 Si 0.500 0.500 0.000
5 Si 0.667 0.333 0.500
6 Ir 0.000 0.000 0.500

Calculated values
ΔE_f (raw), eV per formula unit: 3.91

***

## Re2HgSe (PBE)

Data for a relaxed Re2HgSe crystal.

a b c (Å): 2.812 2.812 10.776
angles (deg): 90.00 90.00 116.42
Fractional coordinates of all 4 atoms:
1 Re 0.000 0.000 0.000
2 Re 0.500 0.500 0.198
3 Hg 0.000 0.000 0.454
4 Se 0.500 0.500 0.793

Calculated values
ΔE_f (raw), eV per formula unit: 2.29

***

## Pa2CdHg (PBE)

Data for a relaxed Pa2CdHg crystal.

a b c (Å): 3.114 3.114 9.866
angles (deg): 90.00 90.00 90.00
Fractional coordinates of all 4 atoms:
1 Pa 0.000 0.000 0.248
2 Pa 0.000 0.000 0.752
3 Cd 0.500 0.500 0.500
4 Hg 0.500 0.500 0.000

Calculated values
E_form, eV/atom: 0.11

***

no.,polymorph energy (0 for the lowest one) (meV/atom)
1,279
2,1480
3,132
4,590
5,247
6,54